VASP calculation (PBE-GGA) on a geometry-optimized DyHo2Mg3Ir2Pt structure.

Properties
Space group = No. 38
Uncorrected energy = -0.4026 Ry per atom
Magnetization = 0.0 μB per formula unit

```
DyHo2Mg3Ir2Pt
1.0
4.0319 0.0000 0.0000
0.0000 6.3243 3.6512
0.0000 -6.3243 3.6512
Dy Ho Ir Mg Pt
1 2 2 3 1
Direct
0.0000 0.4134 0.4134
0.0000 0.5867 0.0000
0.0000 0.0000 0.5867
0.5000 0.6668 0.3333
0.5000 0.3333 0.6668
0.5000 0.2473 0.0000
0.5000 0.0000 0.2473
0.5000 0.7528 0.7528
0.0000 0.9999 0.9999
```